First-principles (GGA-PBE) data for an optimized crystal structure of RbZn3Au, as listed in Alexandria.

POSCAR file:
```
RbZn3Au
1.0
5.0713 0.0000 0.0000
0.0000 5.0713 0.0000
0.0000 0.0000 5.0713
Rb Zn Au
1 3 1
Direct
0.0000 0.0000 0.0000
0.0000 0.5000 0.5000
0.5000 0.0000 0.5000
0.5000 0.5000 0.0000
0.5000 0.5000 0.5000
```

total magnetization	0.000	μB per cell
ΔH_f (0 K)	-0.051	eV per atom
polymorph energy (0 for the lowest one)	0	meV/atom



First-principles (GGA-PBE) data for an optimized crystal structure of BPdO2, as listed in Alexandria.

POSCAR file:
```
BPdO2
1.0
-2.2931 2.2931 3.4992
2.2931 -2.2931 3.4992
2.2931 2.2931 -3.4992
B Pd O
2 2 4
Direct
0.0000 0.0000 0.0000
0.7500 0.2500 0.5000
0.2500 0.7500 0.5000
0.5000 0.5000 0.0000
0.3750 0.2245 0.3495
0.7755 0.1250 0.1505
0.8750 0.0255 0.6505
0.9745 0.6250 0.8495
```

total magnetization	2.000	μB per cell
energy relative to the elements, uncorrected	-1.11	eV per atom